Here is crystalline ZnCrPOs2 at its relaxed geometry from Alexandria via LeMat-Bulk. Energies are from PBE.

## Properties
**E**: -7.082 eV per atom
**Size of the total moment**: 2.192 μB/cell
**Density of states at the Fermi level**: 0.78 states/eV per atom
**Formation energy**: 0.672 eV per atom

Structure (CIF):
```
data_ZnCrPOs2
_chemical_formula_sum 'Zn1 Cr1 P1 Os2'
_cell_length_a 4.3555
_cell_length_b 4.3555
_cell_length_c 4.2571
_cell_angle_alpha 90.00
_cell_angle_beta 90.00
_cell_angle_gamma 90.00
_symmetry_space_group_name_H-M 'P 4/m m m'
_symmetry_Int_Tables_number 123
_symmetry_space_group_name_Hall '-P 4 2'
loop_
_atom_site_label
_atom_site_fract_x
_atom_site_fract_y
_atom_site_fract_z
Zn1 0.0000 0.0000 0.0000
Cr1 0.5000 0.5000 0.0000
P1 0.5000 0.5000 0.5000
Os1 0.0000 0.5000 0.5000
```